Entry 1:
DFT (GGA-PBE) results for TmPuTh2N4 after structural relaxation.

abc: 3.571 6.174 6.153
angles: 109.63 90.00 90.00
Site moments in Bohr magnetons follow the coordinates.
Atoms (fractional coordinates):
1 N 0.500 0.248 0.237  -0.09
2 N 0.500 0.752 0.763  -0.09
3 Th 0.500 0.000 0.500  0.12
4 N 0.000 0.743 0.241  -0.04
5 Tm 0.500 0.500 0.000  0.06
6 Th 0.000 0.500 0.500  0.10
7 Pu 0.000 0.000 0.000  4.79
8 N 0.000 0.257 0.759  -0.04

For the electronic total energy, the calculation gives -9.88 eV/atom. The value obtained for the raw formation energy is -12.11 eV/f.u. Its crystal system is monoclinic.


Entry 2:
DFT (GGA-PBE) results for HfZr3N after structural relaxation.

abc: 5.209 5.654 6.563
angles: 89.99 90.00 90.00
Atoms (fractional coordinates):
1 Hf 0.923 0.000 0.201
2 Zr 0.925 0.519 0.951
3 Zr 0.425 0.834 0.951
4 N 0.178 0.672 0.701
5 Zr 0.925 0.519 0.451
6 Hf 0.423 0.353 0.701
7 N 0.678 0.681 0.201
8 Zr 0.425 0.834 0.451
9 Zr 0.928 0.003 0.701
10 Zr 0.428 0.350 0.201

For the electronic total energy, the calculation gives -9.51 eV/atom. The value obtained for the raw formation energy is -3.63 eV/f.u. Its crystal system is orthorhombic. The energy above the most stable polymorph in this dataset is 0.000 eV/atom.